8
Lattice="5.151 0.000 0.000 0.000 5.007 1.140 0.000 2.699 11.271" Properties=species:S:1:pos:R:3 comment="La2PrNd4Sc (PBE, optimized geometry)" spacegroup="Pmmm (47)" dft_energy_ry_per_atom=-0.3652 total_magnetization_mub_per_cell=0.0 mass_density_g_cm3=6.29 formation_enthalpy_0k_ev_per_atom=0.04 pbc="T T T"
La 2.576 1.349 5.636
La 0.000 2.699 11.271
Sc 0.000 3.853 6.205
Nd 5.151 1.908 3.173
Nd 0.000 5.798 9.238
Nd 2.576 3.292 8.671
Nd 2.576 4.414 3.740
Pr 2.576 2.503 0.570